Entry from Alexandria: a geometry-optimized LaBN3 structure (PBE).

POSCAR file:
```
LaBN3
1.0
-1.792 0.940 -4.212
-3.262 -3.063 0.704
-3.305 4.272 3.270
La N B
2 6 2
Cartesian
-1.893 0.447 0.461 La
-6.466 1.702 -0.699 La
-4.861 0.380 0.989 N
-3.890 2.426 -0.182 N
-4.403 -0.946 -2.657 N
-4.470 -0.277 -0.056 N
-3.956 3.095 2.419 N
-3.498 1.769 -1.226 N
-3.787 2.629 1.179 B
-4.572 -0.480 -1.417 B
```

The calculation puts the formation energy from raw total energies at -0.620 eV/atom.

Entry from Alexandria: a geometry-optimized Pm4Nd5Tl4 structure (PBE).

POSCAR file:
```
Pm4Nd5Tl4
1.0
5.061 0.000 1.287
2.530 8.941 0.643
0.327 0.000 9.309
Nd Pm Tl
5 4 4
Cartesian
4.862 6.338 2.068 Nd
0.000 0.000 0.000 Nd
6.029 8.135 8.073 Nd
3.056 2.603 9.170 Nd
1.889 0.807 3.166 Nd
6.040 4.305 8.031 Pm
3.918 6.295 5.780 Pm
4.000 2.647 5.459 Pm
1.878 4.636 3.208 Pm
3.136 5.908 8.857 Tl
6.844 7.811 4.870 Tl
1.075 1.130 6.369 Tl
4.782 3.033 2.381 Tl
```

The value obtained for the formation enthalpy at 0 K is -0.249 eV/atom.

Entry from Alexandria: a geometry-optimized Te2W structure (PBE).

POSCAR file:
```
Te2W
1.0
-1.646 1.646 15.031
1.646 -1.646 15.031
1.646 1.646 -15.031
Te W
4 2
Cartesian
0.000 0.000 16.716 Te
1.646 0.000 9.201 Te
1.646 0.000 5.830 Te
0.000 0.000 13.346 Te
0.000 1.646 7.515 W
0.000 0.000 0.000 W
```

The calculation puts the formation energy from raw total energies at 0.196 eV/atom.

Entry from Alexandria: a geometry-optimized CuAu structure (PBE).

POSCAR file:
```
CuAu
1.0
3.654 0.000 0.000
1.827 3.164 0.000
1.827 1.055 2.983
Cu Au
1 1
Cartesian
3.654 2.109 1.492 Cu
0.000 0.000 0.000 Au
```

The value obtained for the formation enthalpy at 0 K is 0.241 eV/atom.